Entry A
Here is an optimized crystal structure of CdAg3Hg from Alexandria via LeMat-Bulk. Energies are from PBE-GGA.

Unit cell a=5.202 b=5.250 c=7.910 alpha=83.61 beta=108.18 gamma=109.31
Positions (direct):
Cd  0.867  0.844  0.015
Cd  0.159  0.345  0.600
Ag  0.563  0.344  0.407
Ag  0.763  0.345  0.808
Ag  0.061  0.844  0.406
Ag  0.964  0.345  0.209
Ag  0.463  0.844  0.207
Ag  0.263  0.845  0.807
Hg  0.365  0.344  0.011
Hg  0.661  0.845  0.603

Properties
- V (Å³ per atom) = 19.37
- density of states at the Fermi level (states/eV/atom) = 0.17

=====

Entry B
Here is an optimized crystal structure of CdAg3Hg from Alexandria via LeMat-Bulk. Energies are from PBE-GGA.

Unit cell a=4.922 b=6.020 c=7.164 alpha=90.00 beta=69.61 gamma=90.00
Positions (direct):
Cd  0.621  0.750  0.261
Cd  0.379  0.250  0.739
Ag  0.186  0.999  0.128
Ag  0.814  0.001  0.872
Ag  0.186  0.501  0.128
Ag  0.814  0.499  0.872
Ag  0.002  0.750  0.498
Ag  0.998  0.250  0.502
Hg  0.383  0.750  0.734
Hg  0.617  0.250  0.266

Properties
- V (Å³ per atom) = 19.90
- density of states at the Fermi level (states/eV/atom) = 0.32

=====

The data favor entry A; the next most stable structure lies 15 meV per atom above it.

=====

Entry A
Here is an optimized crystal structure of KCdAgHg2 from Alexandria via LeMat-Bulk. Energies are from PBE-GGA.

Unit cell a=5.512 b=5.512 c=5.427 alpha=90.00 beta=90.00 gamma=90.00
Positions (direct):
K  0.500  0.500  0.500
Hg  0.000  0.500  0.000
Hg  0.500  0.000  0.000
Ag  0.000  0.000  0.000
Cd  0.000  0.000  0.500

Properties
- V (Å³ per atom) = 32.98
- density of states at the Fermi level (states/eV/atom) = 0.44

=====

Entry B
Here is an optimized crystal structure of KCdAgHg2 from Alexandria via LeMat-Bulk. Energies are from PBE-GGA.

Unit cell a=5.718 b=5.718 c=5.426 alpha=90.00 beta=90.00 gamma=90.00
Positions (direct):
K  0.500  0.500  0.500
Hg  0.000  0.500  0.000
Hg  0.500  0.000  0.000
Ag  0.000  0.000  0.500
Cd  0.000  0.000  0.000

Properties
- V (Å³ per atom) = 35.49
- density of states at the Fermi level (states/eV/atom) = 0.41

=====

The data favor entry A; the next most stable structure lies 58 meV per atom above it.

=====

Entry A
Here is an optimized crystal structure of Ho8CdAg2 from Alexandria via LeMat-Bulk. Energies are from PBE-GGA.

Unit cell a=5.271 b=8.312 c=8.389 alpha=118.55 beta=108.31 gamma=90.00
Positions (direct):
Ho  0.599  0.461  0.198
Ho  0.316  0.042  0.632
Ho  0.143  0.197  0.285
Ho  0.067  0.723  0.133
Ho  0.857  0.803  0.715
Ho  0.684  0.958  0.368
Ho  0.401  0.539  0.802
Ho  0.933  0.277  0.867
Cd  0.500  0.000  0.000
Ag  0.224  0.621  0.447
Ag  0.776  0.379  0.553

Properties
- V (Å³ per atom) = 27.41
- density of states at the Fermi level (states/eV/atom) = 1.20

=====

Entry B
Here is an optimized crystal structure of Ho8CdAg2 from Alexandria via LeMat-Bulk. Energies are from PBE-GGA.

Unit cell a=5.424 b=8.344 c=8.344 alpha=117.82 beta=100.00 gamma=100.00
Positions (direct):
Ho  0.893  0.905  0.672
Ho  0.893  0.672  0.905
Ho  0.303  0.606  0.606
Ho  0.500  0.776  0.224
Ho  0.500  0.224  0.776
Ho  0.697  0.394  0.394
Ho  0.107  0.328  0.095
Ho  0.107  0.095  0.328
Cd  0.500  0.000  0.000
Ag  0.000  0.303  0.697
Ag  0.000  0.697  0.303

Properties
- V (Å³ per atom) = 28.60
- density of states at the Fermi level (states/eV/atom) = 1.36

=====

The data favor entry A; the next most stable structure lies 111 meV per atom above it.

=====

Entry A
Here is an optimized crystal structure of HoCd2Ag2 from Alexandria via LeMat-Bulk. Energies are from PBE-GGA.

Unit cell a=5.731 b=4.981 c=4.981 alpha=59.29 beta=88.50 gamma=114.15
Positions (direct):
Ho  0.000  0.000  0.000
Cd  0.643  0.428  0.793
Cd  0.357  0.572  0.207
Ag  0.775  0.183  0.417
Ag  0.225  0.817  0.583

Properties
- V (Å³ per atom) = 21.29
- density of states at the Fermi level (states/eV/atom) = 0.28

=====

Entry B
Here is an optimized crystal structure of HoCd2Ag2 from Alexandria via LeMat-Bulk. Energies are from PBE-GGA.

Unit cell a=4.716 b=3.445 c=14.191 alpha=96.97 beta=99.57 gamma=90.00
Positions (direct):
Ho  0.823  0.573  0.645
Ho  0.177  0.427  0.355
Cd  0.542  0.292  0.084
Cd  0.933  0.183  0.866
Cd  0.458  0.708  0.916
Cd  0.067  0.817  0.134
Ag  0.725  0.975  0.449
Ag  0.275  0.025  0.551
Ag  0.373  0.123  0.747
Ag  0.627  0.877  0.253

Properties
- V (Å³ per atom) = 22.57
- density of states at the Fermi level (states/eV/atom) = 0.37

=====

The data favor entry A; the next most stable structure lies 68 meV per atom above it.

=====

Entry A
Here is an optimized crystal structure of Ho4CdAg2 from Alexandria via LeMat-Bulk. Energies are from PBE-GGA.

Unit cell a=5.121 b=5.121 c=8.698 alpha=72.88 beta=72.88 gamma=60.00
Positions (direct):
Ho  0.870  0.870  0.389
Ho  0.130  0.130  0.611
Ho  0.618  0.618  0.147
Ho  0.382  0.382  0.853
Ag  0.746  0.746  0.761
Ag  0.254  0.254  0.239
Cd  0.000  0.000  0.000

Properties
- V (Å³ per atom) = 26.54
- density of states at the Fermi level (states/eV/atom) = 0.87

=====

Entry B
Here is an optimized crystal structure of Ho4CdAg2 from Alexandria via LeMat-Bulk. Energies are from PBE-GGA.

Unit cell a=4.973 b=4.973 c=9.717 alpha=75.17 beta=75.17 gamma=60.00
Positions (direct):
Ho  0.380  0.380  0.861
Ho  0.206  0.206  0.383
Ho  0.794  0.794  0.617
Ho  0.620  0.620  0.139
Cd  0.000  0.000  0.000
Ag  0.100  0.100  0.701
Ag  0.900  0.900  0.299

Properties
- V (Å³ per atom) = 28.40
- density of states at the Fermi level (states/eV/atom) = 1.33

=====

The data favor entry A; the next most stable structure lies 149 meV per atom above it.

=====

Entry A
Here is an optimized crystal structure of HoCd2Ag6 from Alexandria via LeMat-Bulk. Energies are from PBE-GGA.

Unit cell a=7.535 b=7.631 c=7.535 alpha=66.09 beta=84.09 gamma=66.09
Positions (direct):
Ho  0.909  0.750  0.091
Ho  0.091  0.250  0.909
Cd  0.473  0.923  0.218
Cd  0.782  0.577  0.527
Cd  0.527  0.077  0.782
Cd  0.218  0.423  0.473
Ag  0.440  0.513  0.708
Ag  0.292  0.987  0.560
Ag  0.560  0.487  0.292
Ag  0.708  0.013  0.440
Ag  0.887  0.125  0.690
Ag  0.310  0.375  0.113
Ag  0.113  0.875  0.310
Ag  0.690  0.625  0.887
Ag  0.285  0.794  0.963
Ag  0.037  0.706  0.715
Ag  0.715  0.206  0.037
Ag  0.963  0.294  0.285

Properties
- V (Å³ per atom) = 20.06
- density of states at the Fermi level (states/eV/atom) = 0.41

=====

Entry B
Here is an optimized crystal structure of HoCd2Ag6 from Alexandria via LeMat-Bulk. Energies are from PBE-GGA.

Unit cell a=3.118 b=8.387 c=8.387 alpha=58.94 beta=79.29 gamma=79.29
Positions (direct):
Ho  0.000  0.000  0.000
Cd  0.850  0.650  0.650
Cd  0.150  0.350  0.350
Ag  0.673  0.000  0.654
Ag  0.327  0.000  0.346
Ag  0.327  0.346  0.000
Ag  0.500  0.672  0.328
Ag  0.500  0.328  0.672
Ag  0.673  0.654  0.000

Properties
- V (Å³ per atom) = 20.39
- density of states at the Fermi level (states/eV/atom) = 0.49

=====

The data favor entry A; the next most stable structure lies 31 meV per atom above it.

=====

Entry A
Here is an optimized crystal structure of HoCd2Ag3 from Alexandria via LeMat-Bulk. Energies are from PBE-GGA.

Unit cell a=4.972 b=7.717 c=6.852 alpha=90.00 beta=90.00 gamma=72.52
Positions (direct):
Ho  0.340  0.318  0.000
Ho  0.660  0.682  0.000
Cd  0.000  0.000  0.000
Cd  0.000  0.000  0.500
Cd  0.326  0.347  0.500
Cd  0.674  0.653  0.500
Ag  0.833  0.331  0.747
Ag  0.500  0.000  0.279
Ag  0.167  0.669  0.253
Ag  0.833  0.331  0.253
Ag  0.167  0.669  0.747
Ag  0.500  0.000  0.721

Properties
- V (Å³ per atom) = 20.90
- density of states at the Fermi level (states/eV/atom) = 0.49

=====

Entry B
Here is an optimized crystal structure of HoCd2Ag3 from Alexandria via LeMat-Bulk. Energies are from PBE-GGA.

Unit cell a=5.336 b=5.336 c=10.518 alpha=98.37 beta=98.37 gamma=115.22
Positions (direct):
Ho  0.646  0.646  0.292
Ho  0.354  0.354  0.708
Cd  0.250  0.750  0.500
Cd  0.740  0.740  0.000
Cd  0.750  0.250  0.500
Cd  0.260  0.260  0.000
Ag  0.281  0.902  0.183
Ag  0.098  0.719  0.817
Ag  0.719  0.098  0.817
Ag  0.902  0.281  0.183
Ag  0.204  0.204  0.409
Ag  0.796  0.796  0.591

Properties
- V (Å³ per atom) = 21.73
- density of states at the Fermi level (states/eV/atom) = 0.40

=====

The data favor entry A; the next most stable structure lies 57 meV per atom above it.

=====

Entry A
Here is an optimized crystal structure of Ho2CdAg3 from Alexandria via LeMat-Bulk. Energies are from PBE-GGA.

Unit cell a=5.856 b=5.856 c=9.013 alpha=101.91 beta=101.91 gamma=111.39
Positions (direct):
Ho  0.250  0.750  0.500
Ho  0.753  0.753  0.000
Ho  0.750  0.250  0.500
Ho  0.247  0.247  0.000
Cd  0.666  0.666  0.333
Cd  0.334  0.334  0.667
Ag  0.333  0.833  0.166
Ag  0.167  0.667  0.834
Ag  0.667  0.167  0.834
Ag  0.833  0.333  0.166
Ag  0.166  0.166  0.332
Ag  0.834  0.834  0.668

Properties
- V (Å³ per atom) = 22.32
- density of states at the Fermi level (states/eV/atom) = 0.56

=====

Entry B
Here is an optimized crystal structure of Ho2CdAg3 from Alexandria via LeMat-Bulk. Energies are from PBE-GGA.

Unit cell a=3.983 b=3.920 c=9.688 alpha=101.67 beta=101.86 gamma=90.00
Positions (direct):
Ho  0.131  0.131  0.263
Ho  0.860  0.360  0.720
Cd  0.453  0.953  0.905
Ag  0.702  0.702  0.404
Ag  0.555  0.555  0.109
Ag  0.300  0.800  0.599

Properties
- V (Å³ per atom) = 24.14
- density of states at the Fermi level (states/eV/atom) = 0.52

=====

The data favor entry A; the next most stable structure lies 99 meV per atom above it.

=====

Entry A
Here is an optimized crystal structure of Ho2Cd3Ag4 from Alexandria via LeMat-Bulk. Energies are from PBE-GGA.

Unit cell a=4.862 b=4.942 c=9.185 alpha=87.74 beta=89.99 gamma=60.54
Positions (direct):
Ho  0.329  0.343  0.775
Ho  0.671  0.657  0.225
Cd  0.340  0.319  0.421
Cd  0.000  0.000  0.000
Cd  0.660  0.681  0.579
Ag  0.664  0.672  0.900
Ag  0.009  0.981  0.348
Ag  0.991  0.019  0.652
Ag  0.336  0.328  0.100

Properties
- V (Å³ per atom) = 21.33
- density of states at the Fermi level (states/eV/atom) = 0.63

=====

Entry B
Here is an optimized crystal structure of Ho2Cd3Ag4 from Alexandria via LeMat-Bulk. Energies are from PBE-GGA.

Unit cell a=5.850 b=8.006 c=9.047 alpha=90.00 beta=108.86 gamma=90.00
Positions (direct):
Ho  0.096  0.605  0.193
Ho  0.904  0.395  0.807
Ho  0.404  0.105  0.807
Ho  0.596  0.895  0.193
Cd  0.000  0.000  0.000
Cd  0.500  0.500  0.000
Cd  0.511  0.750  0.522
Cd  0.989  0.250  0.478
Cd  0.489  0.250  0.478
Cd  0.011  0.750  0.522
Ag  0.679  0.750  0.858
Ag  0.821  0.250  0.142
Ag  0.321  0.250  0.142
Ag  0.179  0.750  0.858
Ag  0.164  0.978  0.328
Ag  0.836  0.022  0.672
Ag  0.336  0.478  0.672
Ag  0.664  0.522  0.328

Properties
- V (Å³ per atom) = 22.28
- density of states at the Fermi level (states/eV/atom) = 0.52

=====

The data favor entry A; the next most stable structure lies 65 meV per atom above it.

=====

Entry A
Here is an optimized crystal structure of HoCd6Ag2 from Alexandria via LeMat-Bulk. Energies are from PBE-GGA.

Unit cell a=4.827 b=9.454 c=9.454 alpha=71.32 beta=90.00 gamma=90.00
Positions (direct):
Ho  0.250  0.209  0.791
Ho  0.750  0.791  0.209
Cd  0.250  0.738  0.448
Cd  0.250  0.552  0.262
Cd  0.750  0.262  0.552
Cd  0.750  0.448  0.738
Cd  0.750  0.047  0.374
Cd  0.750  0.626  0.953
Cd  0.250  0.953  0.626
Cd  0.250  0.374  0.047
Cd  0.250  0.821  0.972
Cd  0.250  0.028  0.179
Cd  0.750  0.179  0.028
Cd  0.750  0.972  0.821
Ag  0.250  0.608  0.765
Ag  0.250  0.235  0.392
Ag  0.750  0.392  0.235
Ag  0.750  0.765  0.608

Properties
- V (Å³ per atom) = 22.70
- density of states at the Fermi level (states/eV/atom) = 0.44

=====

Entry B
Here is an optimized crystal structure of HoCd6Ag2 from Alexandria via LeMat-Bulk. Energies are from PBE-GGA.

Unit cell a=3.260 b=8.610 c=8.610 alpha=58.12 beta=78.95 gamma=78.95
Positions (direct):
Ho  0.000  0.000  0.000
Cd  0.324  0.999  0.351
Cd  0.676  0.001  0.649
Cd  0.676  0.649  0.001
Cd  0.500  0.331  0.669
Cd  0.500  0.669  0.331
Cd  0.324  0.351  0.999
Ag  0.149  0.354  0.354
Ag  0.851  0.646  0.646

Properties
- V (Å³ per atom) = 22.25
- density of states at the Fermi level (states/eV/atom) = 0.51

=====

The data favor entry A; the next most stable structure lies 15 meV per atom above it.

=====

Entry A
Here is an optimized crystal structure of Ho3Cd2Ag4 from Alexandria via LeMat-Bulk. Energies are from PBE-GGA.

Unit cell a=5.033 b=5.035 c=9.150 alpha=90.08 beta=90.00 gamma=119.98
Positions (direct):
Ho  0.334  0.667  0.598
Ho  0.000  0.000  0.000
Ho  0.666  0.333  0.402
Cd  0.333  0.666  0.235
Cd  0.667  0.334  0.765
Ag  0.667  0.334  0.077
Ag  0.001  0.001  0.658
Ag  0.999  0.999  0.342
Ag  0.333  0.666  0.923

Properties
- V (Å³ per atom) = 22.32
- density of states at the Fermi level (states/eV/atom) = 0.61

=====

Entry B
Here is an optimized crystal structure of Ho3Cd2Ag4 from Alexandria via LeMat-Bulk. Energies are from PBE-GGA.

Unit cell a=4.817 b=5.919 c=8.202 alpha=77.68 beta=72.92 gamma=65.98
Positions (direct):
Ho  0.341  0.641  0.678
Ho  0.000  0.000  0.000
Ho  0.659  0.359  0.322
Cd  0.373  0.960  0.293
Cd  0.627  0.040  0.707
Ag  0.275  0.391  0.059
Ag  0.725  0.609  0.941
Ag  0.060  0.274  0.606
Ag  0.940  0.726  0.394

Properties
- V (Å³ per atom) = 22.56
- density of states at the Fermi level (states/eV/atom) = 0.64

=====

The data favor entry B; the next most stable structure lies 28 meV per atom above it.